Pa2Al6Cu3 PBE-GGA optimized geometry; formation energy = -225 meV per atom; space-group type = P-62m
1.0
-0.973 -2.017 -3.354
7.257 -0.440 -1.841
-3.148 -5.391 4.156
Pa Al Cu
2 6 3
Cartesian
3.789 -2.091 0.158
0.320 -3.741 2.157
2.352 -5.038 -0.078
-1.460 -2.675 -0.393
0.819 -1.163 0.461
5.810 -0.353 -1.474
1.757 -1.145 -2.246
-2.521 -4.317 3.327
1.033 -3.165 -0.821
4.087 -1.286 -2.838
-2.471 -4.407 0.942

***

TcPtIN2 PBE-GGA optimized geometry; uncorrected formation energy = 1.65 eV per atom; space-group type = P4/mmm; offset from the most stable computed form = 788 meV per atom
1.0
3.833 0.000 0.000
0.000 3.833 0.000
0.000 0.000 7.977
I Tc Pt N
1 1 1 2
Cartesian
0.000 0.000 3.988
1.916 1.916 3.988
0.000 0.000 0.000
0.000 1.916 0.000
1.916 0.000 0.000

***

LaBiH6Ir2 PBE-GGA optimized geometry; space-group type = C2/c; E = -4.926 eV per atom
1.0
-0.516 6.174 -3.939
-6.161 -3.942 -0.641
-2.235 2.359 3.410
La Bi H Ir
2 2 12 4
Cartesian
-5.783 -1.674 -0.335
-3.128 6.266 -0.834
-3.326 2.729 -1.771
-5.585 1.863 0.601
-3.026 4.985 -3.634
-1.240 4.748 -1.302
-5.885 -0.393 2.464
-7.671 -0.156 0.132
-1.016 0.339 -0.583
-6.808 3.020 -2.274
-7.895 4.253 -0.586
-2.104 1.572 1.104
-4.022 0.017 0.882
-5.752 -0.152 -2.600
-4.890 4.575 -2.052
-3.159 4.744 1.430
-2.971 3.149 1.140
-6.176 4.201 -1.119
-5.940 1.443 -2.310
-2.735 0.391 -0.051

***

Sn2Au2Br PBE-GGA optimized geometry; uncorrected formation energy = -0.08 eV per atom; space-group type = P4/mbm; offset from the most stable computed form = 75 meV per atom
1.0
-3.227 3.181 -6.893
2.858 -6.430 -4.305
-3.014 -1.745 0.606
Au Sn Br
4 4 2
Cartesian
1.291 -4.429 -6.335
-1.028 -1.251 -8.718
-1.660 1.179 -4.864
0.659 -1.999 -2.480
-0.141 -4.638 -3.745
-1.293 -4.086 -7.887
-3.243 -0.357 -6.848
-2.091 -0.909 -2.706
0.000 0.000 0.000
-0.185 -1.625 -5.599

***

ZrTa4Nb4 PBE-GGA optimized geometry; formation energy = 505 meV per atom; space-group type = P4_2/nmc
1.0
-3.451 5.067 0.535
-5.018 -3.268 -1.418
-1.407 -1.962 9.502
Zr Ta Nb
2 8 8
Cartesian
0.000 0.000 0.000
-4.938 -0.082 4.309
-4.577 -2.333 8.221
-6.503 0.494 8.519
-5.737 -0.155 -0.147
-2.937 1.669 0.644
-4.220 -3.195 3.038
-2.001 -1.750 3.665
-1.769 0.290 5.590
-3.295 2.530 5.827
-6.680 -1.508 6.587
-3.985 0.247 7.348
-5.471 1.828 1.795
-3.618 -0.893 1.508
-1.320 0.812 2.802
-2.918 3.158 3.050
-2.361 -2.291 6.463
-4.685 -3.804 5.806

***

CsTeF3 PBE-GGA optimized geometry; uncorrected formation energy = -1.97 eV per atom; space-group type = I4/mmm; offset from the most stable computed form = 102 meV per atom
1.0
-2.146 -3.228 -5.878
6.526 -2.424 -1.051
0.978 -7.361 -0.531
Cs Te F
2 2 6
Cartesian
0.511 -6.708 -4.936
4.847 -6.306 -2.523
2.190 -2.826 -3.464
0.000 0.000 0.000
1.435 -5.652 -1.637
3.923 -7.362 -5.823
0.920 -1.187 -1.455
3.460 -4.465 -5.474
-0.325 -3.059 -4.864
4.705 -2.593 -2.065

***

Ir4RuSe PBE-GGA optimized geometry; uncorrected formation energy = 0.87 eV per atom; space-group type = F-43m
1.0
0.000 3.669 3.669
3.669 0.000 3.669
3.669 3.669 0.000
Ir Ru Se
4 1 1
Cartesian
2.755 2.755 4.584
2.755 4.584 2.755
4.584 4.584 4.584
4.584 2.755 2.755
1.835 1.835 1.835
0.000 0.000 0.000

***

Ca2OsW PBE-GGA optimized geometry; formation energy = 840 meV per atom; space-group type = P4/mmm
1.0
2.828 0.000 0.000
0.000 2.828 0.000
0.000 0.000 9.898
Ca Os W
2 1 1
Cartesian
0.000 0.000 0.134
0.000 0.000 4.815
1.414 1.414 2.474
1.414 1.414 7.423

***

Nd2ZnGa4Au3 PBE-GGA optimized geometry; formation energy = -615 meV per atom; space-group type = P-4m2
1.0
-0.807 3.832 1.960
-1.055 -2.110 3.690
10.183 0.508 3.201
Nd Zn Ga Au
2 1 4 3
Cartesian
2.190 2.046 1.795
7.063 -0.676 4.231
4.160 1.115 4.426
-0.931 0.861 2.825
0.000 0.000 0.000
6.041 2.238 3.006
3.211 -0.868 3.020
5.092 0.254 1.601
8.433 2.357 3.758
0.819 -0.988 2.268

***

Mn2NiAu PBE-GGA optimized geometry; formation energy = 54 meV per atom; space-group type = I-4m2; offset from the most stable computed form = 52 meV per atom
1.0
4.771 0.113 -0.212
1.644 4.480 0.212
-3.082 -2.472 2.685
Au Mn Ni
1 2 1
Cartesian
0.885 2.153 1.449
6.415 4.593 0.000
2.447 -0.031 1.236
3.208 2.297 0.000

***

Er2Tm2In5 PBE-GGA optimized geometry; formation energy = -234 meV per atom; space-group type = Imma
1.0
8.857 0.000 0.000
0.000 6.076 0.000
-4.429 -3.038 9.047
Er Tm In
4 4 10
Cartesian
0.000 5.965 0.000
4.429 2.927 0.000
-1.608 -0.114 4.523
6.036 2.924 4.523
0.734 2.927 1.404
3.695 -0.111 7.643
3.695 -0.111 1.404
0.734 2.927 7.643
-2.215 1.407 7.447
6.644 4.445 1.600
-2.214 -1.631 7.447
6.643 1.407 1.600
1.154 -0.108 3.022
3.275 2.930 6.024
3.275 2.930 3.022
1.154 -0.108 6.024
0.366 2.929 4.523
4.062 -0.109 4.523

***

Zn4CrCd PBE-GGA optimized geometry; formation energy = 115 meV per atom; space-group type = F-43m
1.0
-2.216 -4.606 -0.485
-2.999 -1.814 3.753
-5.074 -0.346 -0.709
Zn Cr Cd
4 1 1
Cartesian
-4.966 -4.848 0.714
-6.402 -2.707 0.601
-5.359 -3.445 2.844
-3.852 -2.533 0.958
0.000 0.000 0.000
-7.717 -5.075 1.919

***

KTe2Pd PBE-GGA optimized geometry; uncorrected formation energy = -0.51 eV per atom; space-group type = Cmcm
1.0
5.593 0.000 -2.344
0.000 8.457 0.000
-0.556 0.000 6.518
K Te Pd
2 4 2
Cartesian
3.291 6.342 0.007
1.746 2.114 4.167
0.613 4.244 1.463
4.424 4.212 2.711
0.613 8.441 1.463
4.424 0.016 2.711
0.012 2.114 0.029
5.025 6.342 4.144

***

MnNb3Ge PBE-GGA optimized geometry; formation energy = 1355 meV per atom; space-group type = Pm-3m; offset from the most stable computed form = 738 meV per atom
1.0
4.712 0.000 0.000
0.000 4.712 0.000
0.000 0.000 4.712
Nb Mn Ge
3 1 1
Cartesian
0.000 2.356 0.000
0.000 0.000 2.356
2.356 0.000 0.000
2.356 2.356 2.356
0.000 0.000 0.000

***

Fe2TeW PBE-GGA optimized geometry; uncorrected formation energy = 0.42 eV per atom; space-group type = P4/mmm
1.0
3.128 0.000 0.000
0.000 3.128 0.000
0.000 0.000 6.159
Fe Te W
2 1 1
Cartesian
0.000 0.000 6.046
0.000 0.000 3.193
1.564 1.564 1.540
1.564 1.564 4.619

***

SrNb3Cd PBE-GGA optimized geometry; formation energy = 1700 meV per atom; space-group type = Pm-3m; offset from the most stable computed form = 0 meV per atom
1.0
-3.790 3.346 -1.161
-1.641 -3.165 -3.768
-3.139 -2.386 3.371
Sr Nb Cd
1 3 1
Cartesian
-4.285 -1.103 -0.779
-0.820 -1.583 -1.884
-1.569 -1.193 1.685
-1.895 1.673 -0.580
0.000 0.000 0.000

***

CsRuNF2 PBE-GGA optimized geometry; uncorrected formation energy = 1.08 eV per atom; space-group type = P4/mmm; offset from the most stable computed form = 2133 meV per atom
1.0
5.157 0.000 0.000
0.000 5.157 0.000
0.000 0.000 4.424
Cs Ru N F
1 1 1 2
Cartesian
0.000 0.000 0.000
2.578 2.578 2.212
0.000 0.000 2.212
0.000 2.578 0.000
2.578 0.000 0.000

***

CdInClO2 PBE-GGA optimized geometry; uncorrected formation energy = -1.18 eV per atom; space-group type = P2_1/m; offset from the most stable computed form = 0 meV per atom
1.0
4.157 0.000 0.000
0.000 6.452 0.076
0.000 -0.013 7.929
Cd In Cl O
2 2 2 4
Cartesian
3.118 1.221 4.597
1.039 5.218 3.409
1.039 6.086 6.806
3.118 0.353 1.199
3.118 2.643 2.273
1.039 3.796 5.733
3.118 0.218 6.991
1.039 6.221 1.014
1.039 0.620 4.873
3.118 5.819 3.132

***

LiLaMgSi2 PBE-GGA optimized geometry; uncorrected formation energy = -0.48 eV per atom; space-group type = I-4m2
1.0
-2.947 1.370 -2.807
2.157 -1.898 -3.191
-2.561 -4.448 3.802
Li La Mg Si
1 1 1 2
Cartesian
-2.951 -1.671 -1.002
0.000 0.000 0.000
-0.399 -3.305 -1.194
-1.019 -1.259 -2.829
-2.331 -3.716 0.634

***

HfTaFe2 PBE-GGA optimized geometry; formation energy = -238 meV per atom; space-group type = P4/mmm
1.0
3.092 0.000 0.000
0.000 3.092 0.000
0.000 0.000 6.231
Hf Fe Ta
1 2 1
Cartesian
1.546 1.546 0.000
0.000 0.000 4.596
0.000 0.000 1.635
1.546 1.546 3.115